[1]
This record from Alexandria via LeMat-Bulk describes Er2Tm4Mg after structural relaxation. The functional is PBE.

Unit cell a=3.557 b=5.832 c=11.202 alpha=111.89 beta=90.00 gamma=90.00
Element x y z (fractional)
1 Tm 0.000 0.363 0.801
2 Mg 0.000 0.000 0.000
3 Er 0.500 0.000 0.500
4 Tm 0.500 0.831 0.751
5 Tm 0.500 0.169 0.249
6 Tm 0.000 0.637 0.199
7 Er 0.000 0.500 0.500

## Properties
Theoretical density in g/cm³: 7.966
E in eV for the cell shown: -27.569
Magnetic moment in μB per cell: 0.0
E_form in eV per atom: 0.148

[2]
This record from Alexandria via LeMat-Bulk describes Er7Tm2Mg2 after structural relaxation. The functional is PBE.

Unit cell a=9.103 b=9.141 c=9.148 alpha=148.64 beta=92.79 gamma=69.98
Element x y z (fractional)
1 Er 0.637 0.137 0.090
2 Er 0.363 0.863 0.910
3 Er 0.455 0.952 0.638
4 Mg 0.088 0.594 0.729
5 Er 0.180 0.683 0.457
6 Er 0.000 0.500 0.000
7 Er 0.545 0.048 0.362
8 Tm 0.725 0.233 0.817
9 Er 0.820 0.317 0.543
10 Tm 0.275 0.767 0.183
11 Mg 0.912 0.406 0.271

## Properties
Theoretical density in g/cm³: 8.014
E in eV for the cell shown: -43.834
Magnetic moment in μB per cell: 0.0
E_form in eV per atom: 0.022